5
Lattice="3.7987 0.0000 0.0000 0.0000 3.7987 0.0000 0.0000 0.0000 3.8565" Properties=species:S:1:pos:R:3 comment="PBE Mn2HRhAu, optimized geometry" e_tot_ev_per_cell=-31.0 dos_at_fermi_per_ev_fu=9.496 polymorph_energy_mev_per_atom=169 pbc="T T T"
Rh 0.0000 0.0000 1.9282
Mn 1.8994 0.0000 0.0000
Mn 0.0000 1.8994 0.0000
H 0.0000 0.0000 0.0000
Au 1.8994 1.8994 1.9282